VASP calculation (GGA+U) on a geometry-optimized TiV2GaO6 structure.

Computed properties:
VASP energy	-7.776	eV per atom
mass density	4.896	g/cm³

```
10
Lattice="2.567 1.482 4.691 -2.567 1.482 4.691 0.000 -2.964 4.691" Properties=species:S:1:pos:R:3 pbc="T T T"
Ti 0.000 0.000 0.000
V 0.000 0.000 4.143
V 0.000 0.000 11.198
Ga 0.000 0.000 7.075
O -1.617 0.071 5.567
O -1.040 -1.392 7.880
O 0.747 -1.436 5.567
O -0.685 1.597 7.880
O 0.870 1.365 5.567
O 1.725 -0.205 7.880
```